First-principles (PBE) data for ScAgBr4 after structural relaxation, as listed in the Alexandria database.

The space group is P2/m (No. 10) and the conventional cell measures 6.8817, 3.9439 and 7.3561 Å, with angles of 90.00, 96.83 and 90.00 degrees. The inequivalent atoms are Sc at (0.0000, 0.0000, 0.0000), Ag at (0.0000, 0.5000, 0.5000), Br at (0.2043, 0.0000, 0.7168) and Br at (0.2352, 0.5000, 0.1525).

Its distance to the lowest polymorph of the same formula is 0.00 eV per formula unit. Its uncorrected formation energy is -709 kJ/mol of formula units.